# PaBeNiO6

Crystalline PaBeNiO6 at its relaxed geometry (PBE with a Hubbard U, Alexandria).

a b c (Å): 4.8078 4.8078 4.6896
angles (deg): 90.00 90.00 120.00
Positions (direct):
Pa (0.0000, 0.0000, 0.0000)
Be (0.6667, 0.3333, 0.5000)
Ni (0.3333, 0.6667, 0.5000)
O (0.3652, 0.0050, 0.7190)
O (0.3652, 0.3603, 0.2810)
O (0.6397, 0.0050, 0.2810)
O (0.6397, 0.6348, 0.7190)
O (0.9950, 0.3603, 0.7190)
O (0.9950, 0.6348, 0.2810)

## Properties
Fermi-level density of states = 5.36 states/eV/cell
total magnetic moment = 0.871 μB/cell
energy = -6.9424 eV per atom